Ti6TeS: relaxed, PBE.

Geometry as POSCAR:
```
Ti6TeS
1.0
-1.115 0.382 5.681
2.564 -3.644 3.715
4.561 2.374 3.703
Ti Te S
6 1 1
Direct
0.013 0.446 0.788
0.753 0.013 0.788
0.553 0.247 0.212
0.247 0.987 0.212
0.987 0.554 0.212
0.447 0.753 0.788
0.500 0.500 0.500
0.000 0.000 0.000
```

Output
- Magnetization: 0.0 μB/cell
- Calculated density: 4.73 Mg/m³
- E_form (uncorrected): -0.155 eV per atom
- Space-group type: P-1



Ta3Rh: relaxed, PBE.

Geometry as POSCAR:
```
Ta3Rh
1.0
2.797 -4.558 0.000
2.797 4.558 0.000
-4.628 0.000 2.679
Ta Rh
3 1
Direct
0.500 0.000 0.500
0.000 0.500 0.500
0.500 0.500 0.000
0.000 0.000 0.000
```

Output
- Magnetization: 0.0 μB/cell
- Calculated density: 15.70 Mg/m³
- Formation energy from the elements: -235 meV/atom
- Space-group type: R-3m



LaWS2: relaxed, PBE.

Geometry as POSCAR:
```
LaWS2
1.0
0.000 3.328 3.328
3.328 0.000 3.328
3.328 3.328 0.000
S W La
2 1 1
Direct
0.250 0.250 0.250
0.750 0.750 0.750
0.500 0.500 0.500
0.000 0.000 0.000
```

Output
- Magnetization: 1.0 μB/cell
- Calculated density: 8.72 Mg/m³
- E_form (uncorrected): -0.435 eV per atom
- Space-group type: Fm-3m



Li6Mg8Pd: relaxed, PBE.

Geometry as POSCAR:
```
Li6Mg8Pd
1.0
-3.894 -5.780 -1.696
3.455 -3.473 -5.239
3.207 -5.704 2.937
Li Mg Pd
6 8 1
Direct
0.615 0.442 0.173
0.173 0.615 0.442
0.442 0.173 0.615
0.385 0.558 0.827
0.827 0.385 0.558
0.558 0.827 0.385
0.248 0.248 0.248
0.752 0.752 0.752
0.057 0.356 0.865
0.865 0.057 0.356
0.356 0.865 0.057
0.943 0.644 0.135
0.135 0.943 0.644
0.644 0.135 0.943
0.000 0.000 0.000
```

Output
- Magnetization: 0.0 μB/cell
- Calculated density: 1.74 Mg/m³
- Formation energy from the elements: -71 meV/atom
- Space-group type: R-3



| no. | electronic total energy (eV per atom) |
| --- | --- |
| 1 | -6.985 |
| 2 | -10.962 |
| 3 | -6.969 |
| 4 | -2.033 |